(1)
Below is a relaxed Tb3Ho2Tm6Zr crystal, with properties calculated at the PBE level.

Results
- Density of states at the Fermi level: 15.40 states/eV/f.u.
- Crystal system: monoclinic
- Formation energy from the elements: 0.0418 eV per atom
- Total energy: -4.8268 eV per atom
- Spin magnetization: 0.00 μB/f.u.
- Space group: C2/m (12)

a b c (Å): 6.0328 6.0328 11.5174
angles (deg): 95.00 95.00 119.93
With the nearest neighbours (Å) after each atom.
Fractional positions:
Tb  0.0000  0.0000  0.0000  6 Tb 3.48, 6 Tm 3.52-3.56
Tb  0.3335  0.6665  0.0000  6 Tb 3.48-3.49, 6 Tm 3.52-3.56
Tb  0.6665  0.3335  0.0000  6 Tb 3.48-3.49, 6 Tm 3.52-3.56
Ho  0.1668  0.8332  0.5000  6 Tm 3.43-3.44, 3 Zr 3.48-3.49, 3 Ho 3.48-3.49
Ho  0.8332  0.1668  0.5000  6 Tm 3.43-3.44, 3 Zr 3.48-3.49, 3 Ho 3.48-3.49
Tm  0.0923  0.4190  0.2558  1 Zr 3.40, 6 Tm 3.41-3.52, 2 Ho 3.43-3.44, 3 Tb 3.52-3.56
Tm  0.2545  0.2545  0.7437  1 Zr 3.40, 6 Tm 3.41-3.52, 2 Ho 3.43, 3 Tb 3.52-3.56
Tm  0.4190  0.0923  0.2558  1 Zr 3.40, 6 Tm 3.41-3.52, 2 Ho 3.43-3.44, 3 Tb 3.52-3.56
Tm  0.5810  0.9077  0.7442  1 Zr 3.40, 6 Tm 3.41-3.52, 2 Ho 3.43-3.44, 3 Tb 3.52-3.56
Tm  0.7455  0.7455  0.2563  1 Zr 3.40, 6 Tm 3.41-3.52, 2 Ho 3.43, 3 Tb 3.52-3.56
Tm  0.9077  0.5810  0.7442  1 Zr 3.40, 6 Tm 3.41-3.52, 2 Ho 3.43-3.44, 3 Tb 3.52-3.56
Zr  0.5000  0.5000  0.5000  6 Tm 3.40, 6 Ho 3.48-3.49

(2)
Below is a relaxed LiCe3In12 crystal, with properties calculated at the PBE level.

Results
- Density of states at the Fermi level: 21.25 states/eV/f.u.
- Crystal system: tetragonal
- Formation energy from the elements: -0.3310 eV per atom
- Total energy: -3.6171 eV per atom
- Spin magnetization: 2.56 μB/f.u.
- Space group: P4/mmm (123)

a b c (Å): 4.6864 4.6864 18.5461
angles (deg): 90.00 90.00 90.00
With the nearest neighbours (Å) after each atom.
Fractional positions:
Li  0.0000  0.0000  0.0000  12 In 3.17-3.31
Ce  0.0000  0.0000  0.2436  12 In 3.32-3.34
Ce  0.0000  0.0000  0.5000  12 In 3.31-3.34
Ce  0.0000  0.0000  0.7564  12 In 3.32-3.34
In  0.0000  0.5000  0.1149  8 In 3.17-3.42, 2 Li 3.17, 2 Ce 3.34
In  0.0000  0.5000  0.3720  8 In 3.27-3.34, 4 Ce 3.34
In  0.0000  0.5000  0.6280  8 In 3.27-3.34, 4 Ce 3.34
In  0.0000  0.5000  0.8851  8 In 3.17-3.42, 2 Li 3.17, 2 Ce 3.34
In  0.5000  0.0000  0.1149  8 In 3.17-3.42, 2 Li 3.17, 2 Ce 3.34
In  0.5000  0.0000  0.3720  8 In 3.27-3.34, 4 Ce 3.34
In  0.5000  0.0000  0.6280  8 In 3.27-3.34, 4 Ce 3.34
In  0.5000  0.0000  0.8851  8 In 3.17-3.42, 2 Li 3.17, 2 Ce 3.34
In  0.5000  0.5000  0.0000  8 In 3.17, 4 Li 3.31
In  0.5000  0.5000  0.2490  8 In 3.27-3.42, 4 Ce 3.32
In  0.5000  0.5000  0.5000  4 Ce 3.31, 8 In 3.34
In  0.5000  0.5000  0.7510  8 In 3.27-3.42, 4 Ce 3.32

(3)
Below is a relaxed BaNaAs crystal, with properties calculated at the PBE level.

Results
- Crystal system: tetragonal
- Formation energy from the elements: -0.8413 eV per atom
- Total energy: -3.4718 eV per atom
- Spin magnetization: 0.00 μB/f.u.
- Space group: P4/nmm (129)

a b c (Å): 4.7974 4.7974 8.1144
angles (deg): 90.00 90.00 90.00
With the nearest neighbours (Å) after each atom.
Fractional positions:
Ba  0.2500  0.2500  0.1586  5 As 3.37-3.49, 4 Na 3.66
Ba  0.7500  0.7500  0.8414  5 As 3.37-3.49, 4 Na 3.66
Na  0.2500  0.7500  0.5000  4 As 3.10, 4 Na 3.39
Na  0.7500  0.2500  0.5000  4 As 3.10, 4 Na 3.39
As  0.2500  0.2500  0.7427  4 Na 3.10, 1 Ba 3.37
As  0.7500  0.7500  0.2573  4 Na 3.10, 1 Ba 3.37

(4)
Below is a relaxed ZnInOs4 crystal, with properties calculated at the PBE level.

Results
- Density of states at the Fermi level: 9.21 states/eV/f.u.
- Crystal system: cubic
- Formation energy from the elements: 0.7141 eV per atom
- Total energy: -7.4411 eV per atom
- Spin magnetization: 0.03 μB/f.u.
- Space group: F-43m (216)

a b c (Å): 5.2156 5.2156 5.2156
angles (deg): 60.00 60.00 60.00
With the nearest neighbours (Å) after each atom.
Fractional positions:
Zn  0.0000  0.0000  0.0000  12 Os 3.06, 4 In 3.19
In  0.2500  0.2500  0.2500  12 Os 3.06, 4 Zn 3.19
Os  0.1244  0.6252  0.6252  6 Os 2.60-2.61
Os  0.6252  0.1244  0.6252  6 Os 2.60-2.61
Os  0.6252  0.6252  0.1244  6 Os 2.60-2.61
Os  0.6252  0.6252  0.6252  6 Os 2.60-2.61

(5)
Below is a relaxed MoIrRhW crystal, with properties calculated at the PBE level.

Results
- Density of states at the Fermi level: 1.46 states/eV/f.u.
- Crystal system: orthorhombic
- Formation energy from the elements: -0.2458 eV per atom
- Total energy: -10.2450 eV per atom
- Spin magnetization: 0.00 μB/f.u.
- Space group: Pmmm (47)

a b c (Å): 3.9121 3.9165 3.9223
angles (deg): 90.00 90.00 90.00
With the nearest neighbours (Å) after each atom.
Fractional positions:
Mo  0.0000  0.0000  0.0000  4 Rh 2.77, 4 W 2.77, 4 Ir 2.77
Ir  0.0000  0.5000  0.5000  4 W 2.77, 4 Rh 2.77, 4 Mo 2.77
Rh  0.5000  0.5000  0.0000  4 Mo 2.77, 4 Ir 2.77, 4 W 2.77
W  0.5000  0.0000  0.5000  4 Ir 2.77, 4 Mo 2.77, 4 Rh 2.77

(6)
Below is a relaxed Sm3Ga2Pd2 crystal, with properties calculated at the PBE level.

Results
- Density of states at the Fermi level: 6.15 states/eV/f.u.
- Crystal system: orthorhombic
- Formation energy from the elements: -0.7643 eV per atom
- Total energy: -5.1353 eV per atom
- Spin magnetization: 0.00 μB/f.u.
- Space group: Pbcm (57)

a b c (Å): 5.6997 8.1779 13.6355
angles (deg): 90.00 90.00 90.00
With the nearest neighbours (Å) after each atom.
Fractional positions:
Sm  0.1406  0.2435  0.2500  5 Ga 3.07-3.41, 4 Pd 3.16-3.17
Sm  0.1406  0.2565  0.7500  5 Ga 3.07-3.41, 4 Pd 3.16-3.17
Sm  0.3572  0.6033  0.1017  4 Pd 2.99-3.21, 3 Ga 3.09-3.27
Sm  0.3572  0.6033  0.3983  4 Pd 2.99-3.21, 3 Ga 3.09-3.27
Sm  0.3572  0.8967  0.6017  4 Pd 2.99-3.21, 3 Ga 3.09-3.27
Sm  0.3572  0.8967  0.8983  4 Pd 2.99-3.21, 3 Ga 3.09-3.27
Sm  0.6428  0.1033  0.1017  4 Pd 2.99-3.21, 3 Ga 3.09-3.27
Sm  0.6428  0.1033  0.3983  4 Pd 2.99-3.21, 3 Ga 3.09-3.27
Sm  0.6428  0.3967  0.6017  4 Pd 2.99-3.21, 3 Ga 3.09-3.27
Sm  0.6428  0.3967  0.8983  4 Pd 2.99-3.21, 3 Ga 3.09-3.27
Sm  0.8594  0.7435  0.2500  5 Ga 3.07-3.41, 4 Pd 3.16-3.17
Sm  0.8594  0.7565  0.7500  5 Ga 3.07-3.41, 4 Pd 3.16-3.17
Ga  0.1668  0.2500  0.0000  4 Pd 2.69-2.70
Ga  0.1668  0.2500  0.5000  4 Pd 2.69-2.70
Ga  0.3622  0.6116  0.7500  2 Pd 2.61
Ga  0.3622  0.8884  0.2500  2 Pd 2.61
Ga  0.6378  0.1116  0.7500  2 Pd 2.61
Ga  0.6378  0.3884  0.2500  2 Pd 2.61
Ga  0.8332  0.7500  0.0000  4 Pd 2.69-2.70
Ga  0.8332  0.7500  0.5000  4 Pd 2.69-2.70
Pd  0.1244  0.5394  0.5925  3 Ga 2.61-2.70
Pd  0.1244  0.5394  0.9075  3 Ga 2.61-2.70
Pd  0.1244  0.9606  0.0925  3 Ga 2.61-2.70
Pd  0.1244  0.9606  0.4075  3 Ga 2.61-2.70
Pd  0.8756  0.0394  0.5925  3 Ga 2.61-2.70
Pd  0.8756  0.0394  0.9075  3 Ga 2.61-2.70
Pd  0.8756  0.4606  0.0925  3 Ga 2.61-2.70
Pd  0.8756  0.4606  0.4075  3 Ga 2.61-2.70

(7)
Below is a relaxed TbFe2GeC crystal, with properties calculated at the PBE level.

Results
- Density of states at the Fermi level: 4.61 states/eV/f.u.
- Crystal system: orthorhombic
- Formation energy from the elements: -0.4054 eV per atom
- Total energy: -7.4848 eV per atom
- Spin magnetization: 0.81 μB/f.u.
- Space group: Cmcm (63)

a b c (Å): 5.6044 5.6044 6.8808
angles (deg): 90.00 90.00 140.13
With the nearest neighbours (Å) after each atom.
Fractional positions:
Tb  0.0496  0.9504  0.7500  4 C 2.62
Tb  0.9504  0.0496  0.2500  4 C 2.62
Fe  0.3370  0.6630  0.5622  1 C 1.77
Fe  0.3370  0.6630  0.9378  1 C 1.77
Fe  0.6630  0.3370  0.0622  1 C 1.77
Fe  0.6630  0.3370  0.4378  1 C 1.77
Ge  0.2305  0.7695  0.2500  6 Fe 2.41-2.42
Ge  0.7695  0.2305  0.7500  6 Fe 2.41-2.42
C  0.5000  0.5000  0.0000  2 Fe 1.77
C  0.5000  0.5000  0.5000  2 Fe 1.77

(8)
Below is a relaxed TaRuPb2 crystal, with properties calculated at the PBE level.

Results
- Density of states at the Fermi level: 3.53 states/eV/f.u.
- Distance to the lowest polymorph of the same formula: 0.591 eV per atom
- Crystal system: tetragonal
- Formation energy from the elements: 0.6865 eV per atom
- Total energy: -6.4498 eV per atom
- Spin magnetization: 0.00 μB/f.u.
- Space group: I-4m2 (119)

a b c (Å): 5.4905 5.4905 5.4905
angles (deg): 134.87 134.87 65.74
With the nearest neighbours (Å) after each atom.
Fractional positions:
Ta  0.0000  0.0000  0.0000  8 Pb 2.98-3.12, 4 Ru 3.12
Ru  0.7500  0.2500  0.5000  8 Pb 2.98-3.12, 4 Ta 3.12
Pb  0.2500  0.7500  0.5000  4 Ru 2.98, 4 Ta 3.12, 4 Pb 3.12
Pb  0.5000  0.5000  0.0000  4 Ta 2.98, 4 Pb 3.12, 4 Ru 3.12

(9)
Below is a relaxed TmScNiPt crystal, with properties calculated at the PBE level.

Results
- Density of states at the Fermi level: 3.47 states/eV/f.u.
- Distance to the lowest polymorph of the same formula: 0.010 eV per atom
- Crystal system: cubic
- Formation energy from the elements: -0.8646 eV per atom
- Total energy: -6.5209 eV per atom
- Spin magnetization: 0.00 μB/f.u.
- Space group: F-43m (216)

a b c (Å): 4.7037 4.7037 4.7037
angles (deg): 60.00 60.00 60.00
With the nearest neighbours (Å) after each atom.
Fractional positions:
Tm  0.0000  0.0000  0.0000  4 Ni 2.88, 4 Pt 2.88
Sc  0.5000  0.5000  0.5000  4 Ni 2.88, 4 Pt 2.88
Ni  0.7500  0.7500  0.7500  4 Tm 2.88, 4 Sc 2.88
Pt  0.2500  0.2500  0.2500  4 Sc 2.88, 4 Tm 2.88

(10)
Below is a relaxed Dy4ZnSi2 crystal, with properties calculated at the PBE level.

Results
- Density of states at the Fermi level: 6.43 states/eV/f.u.
- Uncorrected formation energy: -8.599 kcal/mol of atoms
- Crystal system: trigonal
- Total energy: -4.7341 eV per atom
- Spin magnetization: 0.00 μB/f.u.
- Space group: R-3m (166)

a b c (Å): 9.0578 9.0578 9.0578
angles (deg): 30.99 30.99 30.99
With the nearest neighbours (Å) after each atom.
Fractional positions:
Dy  0.1217  0.1217  0.1217  3 Zn 3.03, 3 Si 3.07
Dy  0.2921  0.2921  0.2921  4 Si 2.91-2.94
Dy  0.7079  0.7079  0.7079  4 Si 2.91-2.94
Dy  0.8783  0.8783  0.8783  3 Zn 3.03, 3 Si 3.07
Zn  0.5000  0.5000  0.5000  2 Si 2.44
Si  0.4058  0.4058  0.4058  1 Zn 2.44
Si  0.5942  0.5942  0.5942  1 Zn 2.44